{"formula": "CuMo2IO", "functional": "PBE+U", "state": "relaxed", "final_energy_ev_per_atom": -3.23, "m_tot_mub_per_fu": 9.3, "rho_g_cm3": 4.19, "cell": [[5.696, 0.000, 0.000], [0.000, 5.696, 0.000], [0.000, 0.000, 4.866]], "species": ["Cu", "Mo", "Mo", "I", "O"], "frac_coords": [[0.000, 0.000, 0.000], [0.000, 0.500, 0.500], [0.500, 0.000, 0.500], [0.000, 0.000, 0.500], [0.500, 0.500, 0.000]]}